This record from Alexandria via LeMat-Bulk describes a crystal of TiAg2PdI relaxed with PBEsol. The functional is SCAN.

The structure in POSCAR format:
```
TiAg2PdI
1.0
5.0773 0.0000 0.0000
0.0000 5.0773 0.0000
0.0000 0.0000 4.6335
Ti Ag Pd I
1 2 1 1
direct
0.0000 0.0000 0.0000
0.0000 0.5000 0.0000
0.5000 0.0000 0.0000
0.0000 0.0000 0.5000
0.5000 0.5000 0.5000
```

## Properties
SG: P4/mmm
Formation energy without anion corrections: 20.23 kcal/mol of atoms



This record from Alexandria via LeMat-Bulk describes a crystal of AgTePtI2 relaxed with PBEsol. The functional is SCAN.

The structure in POSCAR format:
```
AgTePtI2
1.0
5.3346 0.0000 0.0000
0.0000 5.3346 0.0000
0.0000 0.0000 5.3712
Ag Te Pt I
1 1 1 2
direct
0.0000 0.0000 0.0000
0.0000 0.0000 0.5000
0.5000 0.5000 0.5000
0.0000 0.5000 0.0000
0.5000 0.0000 0.0000
```

## Properties
SG: P4/mmm
Formation energy without anion corrections: 25.64 kcal/mol of atoms



This record from Alexandria via LeMat-Bulk describes a crystal of RbAgI2 relaxed with PBEsol. The functional is SCAN.

The structure in POSCAR format:
```
RbAgI2
1.0
-4.2341 4.2341 4.2693
4.2341 -4.2341 4.2693
4.2341 4.2341 -4.2693
Rb Ag I
2 2 4
direct
0.0000 0.0000 0.0000
0.7500 0.2500 0.5000
0.2500 0.7500 0.5000
0.5000 0.5000 0.0000
0.1990 0.1250 0.5740
0.3750 0.8010 0.9260
0.5510 0.6250 0.4260
0.8750 0.4490 0.0740
```

## Properties
SG: I-42d
Formation energy without anion corrections: -21.17 kcal/mol of atoms



This record from Alexandria via LeMat-Bulk describes a crystal of Rb2SiAgI relaxed with PBEsol. The functional is SCAN.

The structure in POSCAR format:
```
Rb2SiAgI
1.0
6.7783 0.0000 0.0000
0.0000 6.7783 0.0000
0.0000 0.0000 5.4437
Rb Si Ag I
2 1 1 1
direct
0.0000 0.5000 0.0000
0.5000 0.0000 0.0000
0.0000 0.0000 0.5000
0.5000 0.5000 0.5000
0.5000 0.5000 0.0000
```

## Properties
SG: P4/mmm
Formation energy without anion corrections: 5.86 kcal/mol of atoms



This record from Alexandria via LeMat-Bulk describes a crystal of RbSi2AgI relaxed with PBEsol. The functional is SCAN.

The structure in POSCAR format:
```
RbSi2AgI
1.0
5.4680 0.0000 0.0000
0.0000 5.4680 0.0000
0.0000 0.0000 5.4506
Rb Si Ag I
1 2 1 1
direct
0.0000 0.0000 0.0000
0.0000 0.5000 0.5000
0.5000 0.0000 0.5000
0.5000 0.5000 0.0000
0.5000 0.5000 0.5000
```

## Properties
SG: P4/mmm
Formation energy without anion corrections: 26.06 kcal/mol of atoms



This record from Alexandria via LeMat-Bulk describes a crystal of Rb2TlAgI6 relaxed with PBEsol. The functional is SCAN.

The structure in POSCAR format:
```
Rb2TlAgI6
1.0
0.0000 5.8728 5.8728
5.8728 0.0000 5.8728
5.8728 5.8728 0.0000
Rb Tl Ag I
2 1 1 6
direct
0.2500 0.2500 0.2500
0.7500 0.7500 0.7500
0.0000 0.0000 0.0000
0.5000 0.5000 0.5000
0.2568 0.2568 0.7432
0.2568 0.7432 0.2568
0.2568 0.7432 0.7432
0.7432 0.2568 0.2568
0.7432 0.2568 0.7432
0.7432 0.7432 0.2568
```

## Properties
SG: Fm-3m
Formation energy without anion corrections: -18.38 kcal/mol of atoms